Record 1
Entry from Alexandria: a relaxed LaTiP3 crystal (PBE-GGA).

a = 5.217 Å, b = 5.217 Å, c = 5.217 Å
α = 90.00°, β = 90.00°, γ = 90.00°
Space group Pm-3m (No. 221)
Symmetry-distinct sites (fractional):
La (0.000, 0.000, 0.000) [1 per cell]
Ti (0.500, 0.500, 0.500) [1 per cell]
P (0.000, 0.000, 0.500) [3 per cell]

## Properties
formation enthalpy at 0 K = 1066 meV/atom
total DFT energy (no corrections) = -23.72 eV per cell
mass density = 3.270 g/cm3

Record 2
Entry from Alexandria: a relaxed LaTi2P2 crystal (PBE-GGA).

a = 7.427 Å, b = 7.427 Å, c = 3.282 Å
α = 90.00°, β = 90.00°, γ = 90.00°
Space group P4/mbm (No. 127)
Symmetry-distinct sites (fractional):
La (0.000, 0.000, 0.000) [2 per cell]
Ti (0.140, 0.360, 0.500) [4 per cell]
P (0.133, 0.633, 0.000) [4 per cell]

## Properties
formation enthalpy at 0 K = -792 meV/atom
total DFT energy (no corrections) = -70.99 eV per cell
mass density = 5.441 g/cm3

Record 3
Entry from Alexandria: a relaxed LaTiP2 crystal (PBE-GGA).

a = 6.786 Å, b = 6.786 Å, c = 6.786 Å
α = 90.00°, β = 90.00°, γ = 90.00°
Space group Fm-3m (No. 225)
Symmetry-distinct sites (fractional):
La (0.000, 0.000, 0.000) [4 per cell]
Ti (0.000, 0.000, 0.500) [4 per cell]
P (0.250, 0.250, 0.250) [8 per cell]

## Properties
formation enthalpy at 0 K = -743 meV/atom
total DFT energy (no corrections) = -106.46 eV per cell
mass density = 5.288 g/cm3

Record 4
Entry from Alexandria: a relaxed LaTiP crystal (PBE-GGA).

a = 3.871 Å, b = 3.871 Å, c = 9.369 Å
α = 90.00°, β = 90.00°, γ = 90.00°
Space group P4/nmm (No. 129, origin choice 2)
Symmetry-distinct sites (fractional):
La (0.250, 0.250, 0.187) [2 per cell]
Ti (0.250, 0.750, 0.500) [2 per cell]
P (0.250, 0.250, 0.679) [2 per cell]

## Properties
formation enthalpy at 0 K = -1051 meV/atom
total DFT energy (no corrections) = -42.77 eV per cell
mass density = 5.150 g/cm3